[1]
Entry from the Alexandria database: crystalline HfCrS2Cl at its relaxed geometry (PBE).

Lattice parameters (Å, degrees): 4.6498 4.6498 4.4458 90.00 90.00 90.00
With the nearest neighbours (Å) after each atom.
Space group P4/mmm (No. 123)
Symmetry-distinct sites (fractional):
Hf 0.0000 0.0000 0.0000 x1  8 S 3.22, 4 Cl 3.29
Cr 0.5000 0.5000 0.5000 x1  2 Cl 2.22, 4 S 2.32
S 0.0000 0.5000 0.5000 x2  2 Cr 2.32
Cl 0.5000 0.5000 0.0000 x1  2 Cr 2.22

As for the total energy: -6.038 eV per atom. Its size of the total moment is 4.29 Bohr magnetons per cell. As for the density: 5.7 g/cm³.

---

[2]
Entry from the Alexandria database: crystalline TmPaZnSn at its relaxed geometry (PBE).

Lattice parameters (Å, degrees): 7.3003 7.3003 7.3003 90.00 90.00 90.00
With the nearest neighbours (Å) after each atom.
Space group F-43m (No. 216)
Symmetry-distinct sites (fractional):
Tm 0.0000 0.0000 0.0000 x4  4 Sn 3.16, 4 Zn 3.16
Pa 0.0000 0.0000 0.5000 x4  4 Sn 3.16, 4 Zn 3.16
Zn 0.2500 0.2500 0.2500 x4  4 Pa 3.16, 4 Tm 3.16
Sn 0.2500 0.2500 0.7500 x4  4 Tm 3.16, 4 Pa 3.16

Its size of the total moment is 4.11 Bohr magnetons per cell. The value obtained for the energy of formation is -14.3 kJ per mole of atoms. As for the density: 10.0 g/cm³.

---

[3]
Entry from the Alexandria database: crystalline Mn3CrBr at its relaxed geometry (PBE).

Lattice parameters (Å, degrees): 4.2309 4.2309 4.2309 90.00 90.00 90.00
With the nearest neighbours (Å) after each atom.
Space group Pm-3m (No. 221)
Symmetry-distinct sites (fractional):
Mn 0.0000 0.0000 0.5000 x3  2 Br 2.12
Cr 0.5000 0.5000 0.5000 x1  12 Mn 2.99
Br 0.0000 0.0000 0.0000 x1  6 Mn 2.12

As for the total energy: -5.950 eV per atom. Its size of the total moment is 0.00 Bohr magnetons per cell. As for the density: 6.5 g/cm³.

---

[4]
Entry from the Alexandria database: crystalline Ba2InOs at its relaxed geometry (PBE).

Lattice parameters (Å, degrees): 8.4001 3.5040 9.6212 90.00 97.41 90.00
With the nearest neighbours (Å) after each atom.
Space group C2/m (No. 12)
Symmetry-distinct sites (fractional):
Ba 0.2370 0.0000 0.1979 x4  3 Os 3.10-3.11
In 0.0000 0.0000 0.5000 x2  2 In 3.50, 6 Ba 3.73-3.84
Os 0.0000 0.5000 0.0000 x2  6 Ba 3.10-3.11

Its size of the total moment is 0.76 Bohr magnetons per cell. The value obtained for the energy of formation is 62.6 kJ per mole of atoms. As for the density: 6.9 g/cm³.

---

[5]
Entry from the Alexandria database: crystalline BeCu5 at its relaxed geometry (PBE).

Lattice parameters (Å, degrees): 6.6779 6.6779 6.6779 90.00 90.00 90.00
With the nearest neighbours (Å) after each atom.
Space group F-43m (No. 216)
Symmetry-distinct sites (fractional):
Be 0.0000 0.0000 0.0000 x4  16 Cu 2.77-2.89
Cu 0.1252 0.1252 0.3748 x16  6 Cu 2.36
Cu 0.2500 0.2500 0.7500 x4  12 Cu 2.77, 4 Be 2.89

Its size of the total moment is 0.00 Bohr magnetons per cell. The value obtained for the energy of formation is 25.9 kJ per mole of atoms. As for the density: 7.3 g/cm³.

---

[6]
Entry from the Alexandria database: crystalline PaTi2TlO8 at its relaxed geometry (PBE).

Lattice parameters (Å, degrees): 6.0311 6.0311 6.2920 90.00 90.00 120.00
With the nearest neighbours (Å) after each atom.
Space group P-3m1 (No. 164)
Symmetry-distinct sites (fractional):
Pa 0.0000 0.0000 0.0000 x1  6 O 2.19
Ti 0.3333 0.6667 0.6800 x2  1 O 1.67
Tl 0.0000 0.0000 0.5000 x1  6 O 2.37
O 0.1576 0.3152 0.7703 x6  1 Ti 1.92
O 0.3333 0.6667 0.4150 x2  1 Ti 1.67

As for the total energy: -8.080 eV per atom. Its size of the total moment is 0.00 Bohr magnetons per cell. As for the density: 5.5 g/cm³.

---

[7]
Entry from the Alexandria database: crystalline RbTlSn2 at its relaxed geometry (PBE).

Lattice parameters (Å, degrees): 5.6844 5.6844 21.3382 90.00 90.00 90.00
With the nearest neighbours (Å) after each atom.
Space group I-42d (No. 122)
Symmetry-distinct sites (fractional):
Rb 0.0000 0.0000 0.0000 x4  4 Sn 3.84, 4 Tl 4.02
Tl 0.0000 0.0000 0.5000 x4  4 Sn 3.06
Sn 0.0837 0.2500 0.6250 x8  2 Sn 3.00, 2 Tl 3.06

Its size of the total moment is 0.00 Bohr magnetons per cell. The value obtained for the energy of formation is 8.2 kJ per mole of atoms. As for the density: 5.1 g/cm³.

---

[8]
Entry from the Alexandria database: crystalline Cd2SiNi at its relaxed geometry (PBE).

Lattice parameters (Å, degrees): 4.0753 3.7340 5.1800 90.00 112.65 90.00
With the nearest neighbours (Å) after each atom.
Space group Pm (No. 6)
Symmetry-distinct sites (fractional):
Cd 0.0000 0.0000 0.0000 x1  3 Ni 2.74-2.89, 4 Si 2.88
Cd 0.2957 0.5000 0.6012 x1  3 Si 2.72-2.90, 4 Ni 2.88-2.89
Si 0.5839 0.5000 0.1707 x1  2 Ni 2.23
Ni 0.7115 0.0000 0.4268 x1  2 Si 2.23

As for the total energy: -3.180 eV per atom. Its size of the total moment is 0.00 Bohr magnetons per cell. As for the density: 7.1 g/cm³.